# 1
Entry from Alexandria: a geometry-optimized Tb3NdHg2 structure (PBE).

a = 5.380 Å, b = 9.534 Å, c = 8.934 Å
α = 125.23°, β = 90.00°, γ = 106.39°
Fractional coordinates of all 12 atoms:
Tb (0.307, 0.613, 0.615)
Tb (0.937, 0.873, 0.597)
Tb (0.619, 0.238, 0.709)
Tb (0.381, 0.762, 0.291)
Tb (0.063, 0.127, 0.403)
Tb (0.693, 0.387, 0.385)
Nd (0.867, 0.735, 0.924)
Nd (0.133, 0.265, 0.076)
Hg (0.511, 0.023, 0.853)
Hg (0.489, 0.977, 0.147)
Hg (0.775, 0.550, 0.156)
Hg (0.225, 0.450, 0.844)

## Properties
- space-group type = C2/m, No. 12
- magnetic moment (μB per formula unit) = 0.00
- V (Å³ per cell) = 351
- energy (eV per atom) = -3.466

=====

# 2
Entry from Alexandria: a geometry-optimized CeDy2Tm4Sc structure (PBE).

a = 4.921 Å, b = 10.969 Å, c = 4.919 Å
α = 63.35°, β = 90.00°, γ = 90.00°
Fractional coordinates of all 8 atoms:
Ce (0.000, 0.500, 0.500)
Dy (0.000, 0.000, 0.000)
Dy (0.500, 0.000, 0.500)
Tm (0.000, 0.745, 0.755)
Tm (0.000, 0.255, 0.245)
Tm (0.500, 0.745, 0.255)
Tm (0.500, 0.255, 0.745)
Sc (0.500, 0.500, 0.000)

## Properties
- space-group type = P4/mmm, No. 123
- magnetic moment (μB per formula unit) = 0.75
- V (Å³ per cell) = 237
- energy (eV per atom) = -4.866